Li2MnFe3O8: relaxed, PBE with a Hubbard U.

a = 5.9117 Å, b = 5.9117 Å, c = 9.5273 Å
α = 90.00°, β = 90.00°, γ = 120.00°
Closest atoms and distances in Å follow each position.
Space group P6_3mc (No. 186)
Asymmetric unit:
Li: 0.0000 0.0000 0.0000  4 O 1.79-1.99
Li: 0.3333 0.6667 0.4050  4 O 1.96-1.99
Mn: 0.3333 0.6667 0.9891  6 O 1.97-2.01
Fe: 0.1696 0.3391 0.7184  6 O 1.95-2.05
O: 0.0000 0.0000 0.3121  1 Li 1.79, 3 Fe 1.95
O: 0.0426 0.5213 0.8536  1 Mn 1.97, 1 Li 1.99, 2 Fe 2.05
O: 0.1690 0.3380 0.1039  1 Li 1.99, 1 Mn 2.01, 2 Fe 2.05
O: 0.3333 0.6667 0.6103  1 Li 1.96, 3 Fe 1.97

Values from the calculation:
- crystal system = hexagonal
- total magnetic moment (μB per cell) = 34.00
- total energy (eV per atom) = -6.351
- theoretical density (kg/m3) = 4196